## LaS2I (PBEsol)

Data for crystalline LaS2I at its relaxed geometry.

## Properties
E_form (uncorrected) (meV per atom): -807
Energy relative to the lowest polymorph listed for this composition (eV/atom): 0.440
Symmetry: I-42d (122)
Calculated total energy (eV/atom): -4.777

Unit cell a=6.532 b=6.532 c=6.532 alpha=106.40 beta=106.40 gamma=115.80
Positions (direct):
S1 0.625 0.103 0.978
S2 0.897 0.875 0.522
S3 0.125 0.647 0.022
S4 0.353 0.375 0.478
I1 0.500 0.500 0.000
I2 0.750 0.250 0.500
La1 0.250 0.750 0.500
La2 0.000 0.000 0.000

***

## LaS2I (PBEsol)

Data for crystalline LaS2I at its relaxed geometry.

## Properties
E_form (uncorrected) (meV per atom): -1246
Energy relative to the lowest polymorph listed for this composition (eV/atom): 0.000
Symmetry: R-3m (166)
Calculated total energy (eV/atom): -5.216

Unit cell a=4.425 b=4.425 c=8.255 alpha=74.45 beta=74.45 gamma=60.00
Positions (direct):
S1 0.889 0.889 0.333
S2 0.111 0.111 0.667
La1 0.500 0.500 0.500
I1 0.000 0.000 0.000